The following is a DFT calculation (PBE+U) of an optimized crystal structure of MnFe2WO6.

Cell lengths 5.321, 5.349, 5.662 Å; angles 90.68, 117.41, 119.72 degrees
Sites, in units of the cell vectors:
Mn (0.000, 0.000, 0.000)
Fe (0.422, 0.207, 0.638)
Fe (0.426, 0.707, 0.143)
W (0.018, 0.503, 0.528)
O (0.186, 0.752, 0.324)
O (0.188, 0.883, 0.792)
O (0.490, 0.604, 0.813)
O (0.561, 0.407, 0.329)
O (0.908, 0.303, 0.794)
O (0.918, 0.141, 0.326)

Values from the calculation:
The calculation puts the total magnetic moment at 13.03 μB per formula unit. The density comes out at 6.28 g cm⁻³. As for the space group: P1. The calculation puts the total energy at -7.2845 eV per atom.